*a*
First-principles (PBE) data for Lu2PaCu after structural relaxation, as listed in the Alexandria database.

abc: 3.3754 3.3754 8.1161
angles: 90.00 90.00 90.00
With the nearest neighbours (Å) after each atom.
Fractional coordinates of all 4 atoms:
1 Lu 0.0000 0.0000 0.2092  4 Cu 2.93
2 Lu 0.0000 0.0000 0.7908  4 Cu 2.93
3 Pa 0.5000 0.5000 0.5000  8 Lu 3.36, 4 Pa 3.38
4 Cu 0.5000 0.5000 0.0000  8 Lu 2.93

**Space group**: P4/mmm, No. 123
**Calculated volume**: 92.5 Å³/cell



*b*
First-principles (PBE) data for Lu2PaCu after structural relaxation, as listed in the Alexandria database.

abc: 10.8856 10.8856 10.8856
angles: 16.99 16.99 16.99
With the nearest neighbours (Å) after each atom.
Fractional coordinates of all 4 atoms:
1 Lu 0.0991 0.0991 0.0991  3 Cu 2.86, 1 Pa 3.19
2 Lu 0.9009 0.9009 0.9009  3 Cu 2.86, 1 Pa 3.19
3 Pa 0.0000 0.0000 0.0000  2 Lu 3.19, 6 Pa 3.22
4 Cu 0.5000 0.5000 0.5000  6 Lu 2.86

**Space group**: R-3m, No. 166
**Calculated volume**: 96.0 Å³/cell



Stability, highest: *a*



*a*
First-principles (PBE) data for PmLu2Cu after structural relaxation, as listed in the Alexandria database.

abc: 9.9124 9.9124 9.9124
angles: 20.88 20.88 20.88
With the nearest neighbours (Å) after each atom.
Fractional coordinates of all 4 atoms:
1 Pm 0.0000 0.0000 0.0000  6 Pm 3.59, 6 Lu 3.60
2 Lu 0.2321 0.2321 0.2321  3 Cu 2.81
3 Lu 0.7679 0.7679 0.7679  3 Cu 2.81
4 Cu 0.5000 0.5000 0.5000  6 Lu 2.81

**Space group**: R-3m, No. 166
**Calculated volume**: 108.3 Å³/cell



*b*
First-principles (PBE) data for PmLu2Cu after structural relaxation, as listed in the Alexandria database.

abc: 3.4320 3.4320 8.7235
angles: 90.00 90.00 90.00
With the nearest neighbours (Å) after each atom.
Fractional coordinates of all 4 atoms:
1 Pm 0.0000 0.0000 0.0000  4 Pm 3.43, 8 Lu 3.63
2 Lu 0.5000 0.5000 0.3087  4 Cu 2.95
3 Lu 0.5000 0.5000 0.6913  4 Cu 2.95
4 Cu 0.0000 0.0000 0.5000  8 Lu 2.95

**Space group**: P4/mmm, No. 123
**Calculated volume**: 102.8 Å³/cell



Stability, highest: *b*